No. 1
# SbBrCl2 | Alexandria | SCAN | PBEsol geometry
data_SbBrCl2
_chemical_formula_sum 'Sb1 Br1 Cl2'
_cell_length_a 3.4566
_cell_length_b 3.4566
_cell_length_c 9.3258
_cell_angle_alpha 90.00
_cell_angle_beta 90.00
_cell_angle_gamma 113.18
_symmetry_space_group_name_H-M 'P 1'
_symmetry_Int_Tables_number 1
_symmetry_space_group_name_Hall 'P 1'
loop_
_atom_site_label
_atom_site_type_symbol
_atom_site_fract_x
_atom_site_fract_y
_atom_site_fract_z
Sb1 Sb 0.0000 0.0000 0.0000
Br1 Br 0.5000 0.5000 0.7785
Cl1 Cl 0.0000 0.0000 0.5041
Cl2 Cl 0.5000 0.5000 0.2039
# Offset from the most stable computed form = 68.7 kJ/mol of atoms
# Symmetry = Cmm2
# Uncorrected energy = -18.201 eV per atom

=====

No. 2
# NiAu3 | Alexandria | SCAN | PBEsol geometry
data_NiAu3
_chemical_formula_sum 'Ni1 Au3'
_cell_length_a 2.8413
_cell_length_b 4.5867
_cell_length_c 4.7552
_cell_angle_alpha 90.00
_cell_angle_beta 90.00
_cell_angle_gamma 90.00
_symmetry_space_group_name_H-M 'P 1'
_symmetry_Int_Tables_number 1
_symmetry_space_group_name_Hall 'P 1'
loop_
_atom_site_label
_atom_site_type_symbol
_atom_site_fract_x
_atom_site_fract_y
_atom_site_fract_z
Ni1 Ni 0.0000 0.0000 0.0000
Au1 Au 0.0000 0.5000 0.6664
Au2 Au 0.5000 0.0000 0.4965
Au3 Au 0.5000 0.5000 0.1536
# Energy of formation from the pure elements = 0.109 eV/atom
# Symmetry = Pmm2
# Uncorrected energy = -55.802 eV per atom

=====

No. 3
# Cu2HgTe2 | Alexandria | SCAN | PBEsol geometry
data_Cu2HgTe2
_chemical_formula_sum 'Cu2 Hg1 Te2'
_cell_length_a 8.2738
_cell_length_b 8.2738
_cell_length_c 8.2738
_cell_angle_alpha 153.74
_cell_angle_beta 153.74
_cell_angle_gamma 37.48
_symmetry_space_group_name_H-M 'P 1'
_symmetry_Int_Tables_number 1
_symmetry_space_group_name_Hall 'P 1'
loop_
_atom_site_label
_atom_site_type_symbol
_atom_site_fract_x
_atom_site_fract_y
_atom_site_fract_z
Cu1 Cu 0.2500 0.7500 0.5000
Cu2 Cu 0.7500 0.2500 0.5000
Hg1 Hg 0.0000 0.0000 0.0000
Te1 Te 0.3639 0.3639 0.0000
Te2 Te 0.6361 0.6361 0.0000
# Offset from the most stable computed form = 0.0 kJ/mol of atoms
# Symmetry = I4/mmm
# Uncorrected energy = -34.667 eV per atom

=====

No. 4
# Al2ZnCr | Alexandria | SCAN | PBEsol geometry
data_Al2ZnCr
_chemical_formula_sum 'Al2 Zn1 Cr1'
_cell_length_a 2.6372
_cell_length_b 2.6372
_cell_length_c 8.0398
_cell_angle_alpha 90.00
_cell_angle_beta 90.00
_cell_angle_gamma 90.00
_symmetry_space_group_name_H-M 'P 1'
_symmetry_Int_Tables_number 1
_symmetry_space_group_name_Hall 'P 1'
loop_
_atom_site_label
_atom_site_type_symbol
_atom_site_fract_x
_atom_site_fract_y
_atom_site_fract_z
Al1 Al 0.0000 0.0000 0.0000
Al2 Al 0.5000 0.5000 0.2772
Zn1 Zn 0.5000 0.5000 0.7415
Cr1 Cr 0.0000 0.0000 0.5074
# Energy of formation from the pure elements = 0.115 eV/atom
# Symmetry = P4mm
# Uncorrected energy = -11.736 eV per atom